No. 1
Here is CeGdP2 after structural relaxation from Alexandria via LeMat-Bulk. Energies are from GGA-PBE.

```
CeGdP2
1.0
2.035 1.175 6.644
-2.035 1.175 6.644
0.000 -2.350 6.644
Ce Gd P
1 1 2
direct
0.000 0.000 0.000
0.500 0.500 0.500
0.250 0.250 0.250
0.750 0.750 0.750
```

Calculated values
Crystal system: trigonal
Magnetic moment in μB/f.u.: 7.565



No. 2
Here is CeGdP after structural relaxation from Alexandria via LeMat-Bulk. Energies are from GGA-PBE.

```
CeGdP
1.0
0.000 3.394 3.394
3.394 0.000 3.394
3.394 3.394 0.000
Ce Gd P
1 1 1
direct
0.000 0.000 0.000
0.500 0.500 0.500
0.750 0.750 0.750
```

Calculated values
Crystal system: cubic
Magnetic moment in μB/f.u.: 8.607
Excess energy over the best structure of this formula in the dataset in meV/atom: 78



No. 3
Here is CeGdP after structural relaxation from Alexandria via LeMat-Bulk. Energies are from GGA-PBE.

```
CeGdP
1.0
-1.805 1.805 5.861
1.805 -1.805 5.861
1.805 1.805 -5.861
Ce Gd P
1 1 1
direct
0.000 0.000 0.000
0.262 0.262 0.000
0.633 0.633 0.000
```

Calculated values
Crystal system: tetragonal
Magnetic moment in μB/f.u.: 8.685
Excess energy over the best structure of this formula in the dataset in meV/atom: 120



No. 4
Here is CeGdP after structural relaxation from Alexandria via LeMat-Bulk. Energies are from GGA-PBE.

```
CeGdP
1.0
3.900 0.000 0.000
-1.950 3.377 0.000
0.000 0.000 6.629
Ce Gd P
1 1 1
direct
0.000 0.000 0.000
0.333 0.667 0.501
0.667 0.333 0.747
```

Calculated values
Crystal system: trigonal
Magnetic moment in μB/f.u.: 6.719
Excess energy over the best structure of this formula in the dataset in meV/atom: 0



No. 5
Here is CeGdPa2 after structural relaxation from Alexandria via LeMat-Bulk. Energies are from GGA-PBE.

```
CeGdPa2
1.0
2.583 1.491 4.842
-2.583 1.491 4.842
0.000 -2.982 4.842
Ce Gd Pa
1 1 2
direct
0.000 0.000 0.000
0.500 0.500 0.500
0.290 0.290 0.290
0.710 0.710 0.710
```

Calculated values
Crystal system: trigonal
Magnetic moment in μB/f.u.: 6.820
Excess energy over the best structure of this formula in the dataset in meV/atom: 223



No. 6
Here is Ce2GdPa after structural relaxation from Alexandria via LeMat-Bulk. Energies are from GGA-PBE.

```
Ce2GdPa
1.0
0.000 3.811 3.811
3.811 0.000 3.811
3.811 3.811 0.000
Ce Gd Pa
2 1 1
direct
0.250 0.250 0.250
0.750 0.750 0.750
0.000 0.000 0.000
0.500 0.500 0.500
```

Calculated values
Crystal system: cubic
Magnetic moment in μB/f.u.: 5.846
Excess energy over the best structure of this formula in the dataset in meV/atom: 178



No. 7
Here is CeGdPa2 after structural relaxation from Alexandria via LeMat-Bulk. Energies are from GGA-PBE.

```
CeGdPa2
1.0
4.620 0.000 0.000
0.000 4.620 0.000
0.000 0.000 4.947
Ce Gd Pa
1 1 2
direct
0.000 0.000 0.000
0.500 0.500 0.000
0.000 0.500 0.500
0.500 0.000 0.500
```

Calculated values
Crystal system: tetragonal
Magnetic moment in μB/f.u.: 6.939
Excess energy over the best structure of this formula in the dataset in meV/atom: 28



No. 8
Here is CeGd2Pa after structural relaxation from Alexandria via LeMat-Bulk. Energies are from GGA-PBE.

```
CeGd2Pa
1.0
4.753 0.000 0.000
0.000 4.753 0.000
0.000 0.000 5.074
Ce Gd Pa
1 2 1
direct
0.000 0.000 0.000
0.000 0.500 0.500
0.500 0.000 0.500
0.500 0.500 0.000
```

Calculated values
Crystal system: tetragonal
Magnetic moment in μB/f.u.: 12.959
Excess energy over the best structure of this formula in the dataset in meV/atom: 49



No. 9
Here is CeGdPa2 after structural relaxation from Alexandria via LeMat-Bulk. Energies are from GGA-PBE.

```
CeGdPa2
1.0
3.222 0.000 0.000
0.000 3.222 0.000
0.000 0.000 10.127
Ce Gd Pa
1 1 2
direct
0.000 0.000 0.000
0.000 0.000 0.500
0.500 0.500 0.242
0.500 0.500 0.758
```

Calculated values
Crystal system: tetragonal
Magnetic moment in μB/f.u.: 6.672
Excess energy over the best structure of this formula in the dataset in meV/atom: 0



No. 10
Here is CeGd2Pa after structural relaxation from Alexandria via LeMat-Bulk. Energies are from GGA-PBE.

```
CeGd2Pa
1.0
3.360 0.000 0.000
0.000 3.360 0.000
0.000 0.000 10.355
Ce Gd Pa
1 2 1
direct
0.000 0.000 0.000
0.500 0.500 0.268
0.500 0.500 0.732
0.000 0.000 0.500
```

Calculated values
Crystal system: tetragonal
Magnetic moment in μB/f.u.: 12.668
Excess energy over the best structure of this formula in the dataset in meV/atom: 0



No. 11
Here is Ce2GdPa after structural relaxation from Alexandria via LeMat-Bulk. Energies are from GGA-PBE.

```
Ce2GdPa
1.0
4.794 0.000 0.000
0.000 4.794 0.000
0.000 0.000 4.706
Ce Gd Pa
2 1 1
direct
0.000 0.500 0.000
0.500 0.000 0.000
0.000 0.000 0.500
0.500 0.500 0.500
```

Calculated values
Crystal system: tetragonal
Magnetic moment in μB/f.u.: 6.851
Excess energy over the best structure of this formula in the dataset in meV/atom: 0



No. 12
Here is CePmGdPa after structural relaxation from Alexandria via LeMat-Bulk. Energies are from GGA-PBE.

```
CePmGdPa
1.0
0.000 3.940 3.940
3.940 0.000 3.940
3.940 3.940 0.000
Ce Pm Gd Pa
1 1 1 1
direct
0.000 0.000 0.000
0.500 0.500 0.500
0.250 0.250 0.250
0.750 0.750 0.750
```

Calculated values
Crystal system: cubic
Magnetic moment in μB/f.u.: 11.568



No. 13
Here is CePrGdPa after structural relaxation from Alexandria via LeMat-Bulk. Energies are from GGA-PBE.

```
CePrGdPa
1.0
0.000 3.954 3.954
3.954 0.000 3.954
3.954 3.954 0.000
Ce Pr Gd Pa
1 1 1 1
direct
0.000 0.000 0.000
0.500 0.500 0.500
0.750 0.750 0.750
0.250 0.250 0.250
```

Calculated values
Crystal system: cubic
Magnetic moment in μB/f.u.: 11.438



No. 14
Here is CeGdPuPa after structural relaxation from Alexandria via LeMat-Bulk. Energies are from GGA-PBE.

```
CeGdPuPa
1.0
0.000 3.809 3.809
3.809 0.000 3.809
3.809 3.809 0.000
Ce Gd Pu Pa
1 1 1 1
direct
0.000 0.000 0.000
0.750 0.750 0.750
0.500 0.500 0.500
0.250 0.250 0.250
```

Calculated values
Crystal system: cubic
Magnetic moment in μB/f.u.: 16.230



No. 15
Here is CeGdPb after structural relaxation from Alexandria via LeMat-Bulk. Energies are from GGA-PBE.

```
CeGdPb
1.0
5.411 0.000 0.000
-2.705 4.686 0.000
0.000 0.000 3.361
Ce Gd Pb
1 1 1
direct
0.000 0.000 0.000
0.667 0.333 0.000
0.333 0.667 0.500
```

Calculated values
Crystal system: hexagonal
Magnetic moment in μB/f.u.: 8.947
Excess energy over the best structure of this formula in the dataset in meV/atom: 0



No. 16
Here is CeGdPb2 after structural relaxation from Alexandria via LeMat-Bulk. Energies are from GGA-PBE.

```
CeGdPb2
1.0
5.075 0.000 0.000
0.000 5.075 0.000
0.000 0.000 4.544
Ce Gd Pb
1 1 2
direct
0.000 0.000 0.000
0.500 0.500 0.000
0.000 0.500 0.500
0.500 0.000 0.500
```

Calculated values
Crystal system: tetragonal
Magnetic moment in μB/f.u.: 8.925
Excess energy over the best structure of this formula in the dataset in meV/atom: 0



No. 17
Here is CeGdPb after structural relaxation from Alexandria via LeMat-Bulk. Energies are from GGA-PBE.

```
CeGdPb
1.0
-1.640 1.640 8.959
1.640 -1.640 8.959
1.640 1.640 -8.959
Ce Gd Pb
1 1 1
direct
0.000 0.000 0.000
0.820 0.820 0.000
0.643 0.643 0.000
```

Calculated values
Crystal system: tetragonal
Magnetic moment in μB/f.u.: 9.445
Excess energy over the best structure of this formula in the dataset in meV/atom: 285



No. 18
Here is CeGdPb2 after structural relaxation from Alexandria via LeMat-Bulk. Energies are from GGA-PBE.

```
CeGdPb2
1.0
0.000 3.905 3.905
3.905 0.000 3.905
3.905 3.905 0.000
Ce Gd Pb
1 1 2
direct
0.000 0.000 0.000
0.500 0.500 0.500
0.250 0.250 0.250
0.750 0.750 0.750
```

Calculated values
Crystal system: cubic
Magnetic moment in μB/f.u.: 8.712
Excess energy over the best structure of this formula in the dataset in meV/atom: 70



No. 19
Here is CeGd2Pb after structural relaxation from Alexandria via LeMat-Bulk. Energies are from GGA-PBE.

```
CeGd2Pb
1.0
4.969 0.000 0.000
0.000 4.969 0.000
0.000 0.000 4.771
Ce Gd Pb
1 2 1
direct
0.000 0.000 0.000
0.000 0.500 0.500
0.500 0.000 0.500
0.500 0.500 0.000
```

Calculated values
Crystal system: tetragonal
Magnetic moment in μB/f.u.: 16.549
Excess energy over the best structure of this formula in the dataset in meV/atom: 0



No. 20
Here is CeGd2Pb after structural relaxation from Alexandria via LeMat-Bulk. Energies are from GGA-PBE.

```
CeGd2Pb
1.0
0.000 3.891 3.891
3.891 0.000 3.891
3.891 3.891 0.000
Ce Gd Pb
1 2 1
direct
0.000 0.000 0.000
0.250 0.250 0.250
0.750 0.750 0.750
0.500 0.500 0.500
```

Calculated values
Crystal system: cubic
Magnetic moment in μB/f.u.: 18.254
Excess energy over the best structure of this formula in the dataset in meV/atom: 171



No. 21
Here is CeGd2Pb after structural relaxation from Alexandria via LeMat-Bulk. Energies are from GGA-PBE.

```
CeGd2Pb
1.0
4.100 0.000 0.000
0.000 4.100 0.000
0.000 0.000 7.168
Ce Gd Pb
1 2 1
direct
0.000 0.000 0.000
0.500 0.500 0.272
0.500 0.500 0.728
0.000 0.000 0.500
```

Calculated values
Crystal system: tetragonal
Magnetic moment in μB/f.u.: 16.348
Excess energy over the best structure of this formula in the dataset in meV/atom: 93



No. 22
Here is CeGdPdPb after structural relaxation from Alexandria via LeMat-Bulk. Energies are from GGA-PBE.

```
CeGdPdPb
1.0
0.000 3.752 3.752
3.752 0.000 3.752
3.752 3.752 0.000
Ce Gd Pd Pb
1 1 1 1
direct
0.000 0.000 0.000
0.500 0.500 0.500
0.250 0.250 0.250
0.750 0.750 0.750
```

Calculated values
Crystal system: cubic
Magnetic moment in μB/f.u.: 8.270



No. 23
Here is CePrGdPb after structural relaxation from Alexandria via LeMat-Bulk. Energies are from GGA-PBE.

```
CePrGdPb
1.0
0.000 3.921 3.921
3.921 0.000 3.921
3.921 3.921 0.000
Ce Pr Gd Pb
1 1 1 1
direct
0.000 0.000 0.000
0.750 0.750 0.750
0.250 0.250 0.250
0.500 0.500 0.500
```

Calculated values
Crystal system: cubic
Magnetic moment in μB/f.u.: 8.598



No. 24
Here is CeGdPtPb after structural relaxation from Alexandria via LeMat-Bulk. Energies are from GGA-PBE.

```
CeGdPtPb
1.0
0.000 3.734 3.734
3.734 0.000 3.734
3.734 3.734 0.000
Ce Gd Pt Pb
1 1 1 1
direct
0.000 0.000 0.000
0.500 0.500 0.500
0.250 0.250 0.250
0.750 0.750 0.750
```

Calculated values
Crystal system: cubic
Magnetic moment in μB/f.u.: 8.129



No. 25
Here is CeGdPuPb after structural relaxation from Alexandria via LeMat-Bulk. Energies are from GGA-PBE.

```
CeGdPuPb
1.0
0.000 3.839 3.839
3.839 0.000 3.839
3.839 3.839 0.000
Ce Gd Pu Pb
1 1 1 1
direct
0.000 0.000 0.000
0.250 0.250 0.250
0.750 0.750 0.750
0.500 0.500 0.500
```

Calculated values
Crystal system: cubic
Magnetic moment in μB/f.u.: 16.174



No. 26
Here is CeGdScPb after structural relaxation from Alexandria via LeMat-Bulk. Energies are from GGA-PBE.

```
CeGdScPb
1.0
0.000 3.776 3.776
3.776 0.000 3.776
3.776 3.776 0.000
Ce Gd Sc Pb
1 1 1 1
direct
0.000 0.000 0.000
0.250 0.250 0.250
0.750 0.750 0.750
0.500 0.500 0.500
```

Calculated values
Crystal system: cubic
Magnetic moment in μB/f.u.: 10.105



No. 27
Here is CeSmGdPb after structural relaxation from Alexandria via LeMat-Bulk. Energies are from GGA-PBE.

```
CeSmGdPb
1.0
0.000 3.891 3.891
3.891 0.000 3.891
3.891 3.891 0.000
Ce Sm Gd Pb
1 1 1 1
direct
0.000 0.000 0.000
0.750 0.750 0.750
0.250 0.250 0.250
0.500 0.500 0.500
```

Calculated values
Crystal system: cubic
Magnetic moment in μB/f.u.: 8.931



No. 28
Here is CeGdSnPb after structural relaxation from Alexandria via LeMat-Bulk. Energies are from GGA-PBE.

```
CeGdSnPb
1.0
0.000 3.870 3.870
3.870 0.000 3.870
3.870 3.870 0.000
Ce Gd Sn Pb
1 1 1 1
direct
0.000 0.000 0.000
0.500 0.500 0.500
0.750 0.750 0.750
0.250 0.250 0.250
```

Calculated values
Crystal system: cubic
Magnetic moment in μB/f.u.: 8.678



No. 29
Here is TbCeGdPb after structural relaxation from Alexandria via LeMat-Bulk. Energies are from GGA-PBE.

```
TbCeGdPb
1.0
0.000 3.870 3.870
3.870 0.000 3.870
3.870 3.870 0.000
Tb Ce Gd Pb
1 1 1 1
direct
0.000 0.000 0.000
0.750 0.750 0.750
0.500 0.500 0.500
0.250 0.250 0.250
```

Calculated values
Crystal system: cubic
Magnetic moment in μB/f.u.: 9.297



No. 30
Here is CeGdTmPb after structural relaxation from Alexandria via LeMat-Bulk. Energies are from GGA-PBE.

```
CeGdTmPb
1.0
0.000 3.851 3.851
3.851 0.000 3.851
3.851 3.851 0.000
Ce Gd Tm Pb
1 1 1 1
direct
0.000 0.000 0.000
0.750 0.750 0.750
0.250 0.250 0.250
0.500 0.500 0.500
```

Calculated values
Crystal system: cubic
Magnetic moment in μB/f.u.: 9.594



No. 31
Here is CeGdZnPb after structural relaxation from Alexandria via LeMat-Bulk. Energies are from GGA-PBE.

```
CeGdZnPb
1.0
0.000 3.777 3.777
3.777 0.000 3.777
3.777 3.777 0.000
Ce Gd Zn Pb
1 1 1 1
direct
0.000 0.000 0.000
0.500 0.500 0.500
0.750 0.750 0.750
0.250 0.250 0.250
```

Calculated values
Crystal system: cubic
Magnetic moment in μB/f.u.: 6.276



no.,D(E_F) (states/eV/f.u.),E_form (kJ/mol of atoms),E_tot (eV/atom)
1,4.7,-149.5,-9.259
2,8.1,-75.5,-9.257
3,5.6,-71.4,-9.215
4,7.1,-83.0,-9.335
5,9.2,36.7,-9.372
6,14.4,33.3,-8.516
7,9.5,17.8,-9.567
8,9.8,21.4,-10.676
9,8.7,15.1,-9.595
10,9.5,16.6,-10.725
11,10.1,16.1,-8.694
12,11.9,36.0,-8.192
13,12.5,37.3,-8.186
14,10.2,28.9,-10.661
15,7.2,-7.4,-7.984
16,6.7,-45.1,-7.326
17,6.9,20.2,-7.699
18,9.8,-38.3,-7.255
19,9.7,-27.3,-9.733
20,9.0,-10.7,-9.562
21,7.7,-18.2,-9.640
22,10.7,-48.2,-7.729
23,10.7,-8.4,-7.213
24,9.3,-60.4,-8.067
25,7.5,-6.0,-9.576
26,10.2,-7.0,-7.586
27,10.6,-8.0,-7.194
28,9.1,-46.5,-7.414
29,10.8,-7.1,-7.162
30,10.9,-5.0,-7.100
31,8.1,-31.0,-6.571